[1]
K2HfMgCl | PBE | optimized geometry

Geometry as POSCAR:
```
K2HfMgCl
1.0
7.2084 0.0000 0.0000
0.0000 4.8472 0.0000
0.0000 0.0000 7.2084
Cl Mg Hf K
1 1 1 2
Direct
0.0000 0.5000 0.0000
0.5000 0.5000 0.5000
0.0000 0.0000 0.0000
0.5000 0.0000 0.0000
0.0000 0.0000 0.5000
```

Results
**Final energy**: -2.694 eV/atom
**Space-group type**: P4/mmm (123)

[2]
YNb2BTe | PBE | optimized geometry

Geometry as POSCAR:
```
YNb2BTe
1.0
-0.5490 -4.1113 1.5105
2.7291 -1.7894 -3.8784
3.6790 0.3932 2.4074
B Te Nb Y
1 1 2 1
Direct
0.0000 0.0000 0.0000
0.5000 0.5000 0.5000
0.5000 0.0000 0.0000
0.0000 0.0000 0.5000
0.0000 0.5000 0.0000
```

Results
**Final energy**: -7.379 eV/atom
**Space-group type**: P4/mmm (123)

[3]
Al2Cd2Si | PBE | optimized geometry

Geometry as POSCAR:
```
Al2Cd2Si
1.0
8.2662 0.0000 0.0000
0.0000 8.2662 0.0000
0.0000 0.0000 2.9701
Al Cd Si
4 4 2
Direct
0.6156 0.8844 0.5000
0.3844 0.1156 0.5000
0.1156 0.6156 0.5000
0.8844 0.3844 0.5000
0.8149 0.6851 0.0000
0.6851 0.1851 0.0000
0.1851 0.3149 0.0000
0.3149 0.8149 0.0000
0.5000 0.5000 0.0000
0.0000 0.0000 0.0000
```

Results
**Polymorph energy (0 for the lowest one)**: 0 meV/atom
**Space-group type**: P4/mbm (127)

[4]
TeWBrN2 | PBE | optimized geometry

Geometry as POSCAR:
```
TeWBrN2
1.0
3.9400 0.0000 0.0000
0.0000 3.9400 0.0000
0.0000 0.0000 7.2911
Te Br W N
1 1 1 2
Direct
0.0000 0.0000 0.5000
0.0000 0.0000 0.0000
0.5000 0.5000 0.5000
0.5000 0.0000 0.0000
0.0000 0.5000 0.0000
```

Results
**Polymorph energy (0 for the lowest one)**: 2149 meV/atom
**Space-group type**: P4/mmm (123)

[5]
Sc2BRu | PBE | optimized geometry

Geometry as POSCAR:
```
Sc2BRu
1.0
-4.2957 2.4916 6.4834
-1.7712 4.3168 6.7025
-4.1301 5.1331 4.8259
Sc Ru B
2 1 1
Direct
0.1003 0.1003 0.1003
0.8997 0.8997 0.8997
0.0000 0.0000 0.0000
0.5000 0.5000 0.5000
```

Results
**ΔH_f (0 K)**: 0.26 eV per atom
**Space-group type**: R-3m (166)

[6]
La8AlTl2 | PBE | optimized geometry

Geometry as POSCAR:
```
La8AlTl2
1.0
5.0144 0.0000 -1.5226
-1.1005 8.1457 -3.6243
0.0725 -0.8277 9.2571
La Tl Al
8 2 1
Direct
0.9999 0.3276 0.9997
0.6512 0.4220 0.3024
0.8649 0.8646 0.7298
0.3486 0.1193 0.6973
0.3488 0.5780 0.6976
0.0001 0.6724 0.0003
0.1351 0.1354 0.2702
0.6514 0.8807 0.3027
0.8026 0.3028 0.6052
0.1974 0.6972 0.3948
0.5000 0.0000 0.0000
```

Results
**ΔH_f (0 K)**: -0.18 eV per atom
**Space-group type**: Immm (71)

[7]
Zr2CdRh | PBE | optimized geometry

Geometry as POSCAR:
```
Zr2CdRh
1.0
4.5331 0.0000 0.0000
0.0000 4.5343 0.0000
0.0000 0.0000 3.8294
Zr Cd Rh
2 1 1
Direct
0.5000 0.5000 0.0000
0.0000 0.0000 0.0000
0.5000 0.0000 0.5000
0.0000 0.5000 0.5000
```

Results
**ΔH_f (0 K)**: -0.31 eV per atom
**Space-group type**: P4/mmm (123)

[8]
CsNaB10H4O18 | PBE | optimized geometry

Geometry as POSCAR:
```
CsNaB10H4O18
1.0
7.8314 0.0000 0.0359
0.0000 9.0488 0.0000
-2.5337 0.0000 10.8525
H O B Na Cs
8 36 20 2 2
Direct
0.4796 0.7179 0.6395
0.1351 0.1143 0.0399
0.5177 0.2818 0.3595
0.8615 0.8852 0.9596
0.6351 0.8857 0.5399
0.9796 0.2821 0.1395
0.3615 0.1148 0.4596
0.0177 0.7182 0.8595
0.6000 0.1515 0.9934
0.4024 0.7943 0.7968
0.8538 0.3173 0.8453
0.7897 0.4697 0.0073
0.2236 0.0351 0.0627
0.2071 0.5299 0.9923
0.2085 0.9892 0.8472
0.0957 0.7941 0.7036
0.7726 0.9642 0.9374
0.9160 0.6602 0.5314
0.0809 0.3402 0.4689
0.1277 0.4893 0.3002
0.5111 0.2640 0.4457
0.1000 0.8485 0.4934
0.2897 0.9892 0.6531
0.7897 0.0108 0.1531
0.1411 0.6820 0.1538
0.3538 0.6827 0.3453
0.8968 0.1521 0.5070
0.5957 0.2059 0.2036
0.5809 0.6598 0.9689
0.7236 0.9649 0.5627
0.7085 0.0108 0.3472
0.4160 0.3398 0.0314
0.2726 0.0358 0.4374
0.8678 0.5109 0.6997
0.6277 0.5107 0.8002
0.3968 0.8479 0.0070
0.9854 0.2635 0.0533
0.3678 0.4891 0.1997
0.9024 0.2057 0.2968
0.0111 0.7360 0.9457
0.7071 0.4701 0.4923
0.6411 0.3180 0.6538
0.4854 0.7365 0.5533
0.2897 0.5303 0.5073
0.0375 0.7674 0.5816
0.4597 0.7672 0.9188
0.3318 0.4519 0.0794
0.7476 0.4152 0.7497
0.7726 0.0408 0.4682
0.2726 0.9592 0.9682
0.7246 0.0404 0.0322
0.6206 0.3513 0.5320
0.8755 0.3507 0.9672
0.3755 0.6493 0.4672
0.7490 0.1064 0.2502
0.2246 0.9596 0.5322
0.1646 0.4522 0.4205
0.6646 0.5478 0.9205
0.2490 0.8936 0.7502
0.2476 0.5848 0.2497
0.5375 0.2326 0.0816
0.8318 0.5481 0.5794
0.1206 0.6487 0.0320
0.9597 0.2328 0.4188
0.2427 0.9146 0.2498
0.7427 0.0854 0.7498
0.2471 0.3272 0.7501
0.7471 0.6728 0.2501
```

Results
**Final energy**: -7.242 eV/atom
**Space-group type**: Pc (7)

[9]
Ba4ZnHg | PBE | optimized geometry

Geometry as POSCAR:
```
Ba4ZnHg
1.0
5.8638 0.0000 0.0000
2.9319 5.0677 0.2920
2.9319 1.1359 9.6571
Hg Ba Zn
1 4 1
Direct
0.0000 0.0000 0.0000
0.3768 0.3766 0.8698
0.8734 0.8729 0.3803
0.1266 0.1271 0.6197
0.6232 0.6234 0.1302
0.5000 0.5000 0.5000
```

Results
**ΔH_f (0 K)**: -0.14 eV per atom
**Polymorph energy (0 for the lowest one)**: 115 meV/atom
**Space-group type**: R-3m (166)

[10]
Pm3BeO6 | PBE | optimized geometry

Geometry as POSCAR:
```
Pm3BeO6
1.0
-2.2640 3.0134 -3.5658
0.4981 -5.4896 -4.9556
-6.6090 -1.3090 3.0900
Pm O Be
6 12 2
Direct
0.4823 0.9274 0.6950
0.4823 0.3050 0.0726
0.9304 0.6126 0.3874
0.4304 0.3874 0.6126
0.9823 0.6950 0.9274
0.9823 0.0726 0.3050
0.7107 0.3282 0.3524
0.1660 0.4002 0.8859
0.1660 0.1141 0.5998
0.7107 0.6476 0.6718
0.7027 0.2144 0.7856
0.2107 0.3524 0.3282
0.2027 0.7856 0.2144
0.6660 0.8859 0.4002
0.1151 0.0497 0.9503
0.2107 0.6718 0.6476
0.6151 0.9503 0.0497
0.6660 0.5998 0.1141
0.5192 0.8024 0.1976
0.0192 0.1976 0.8024
```

Results
**Final energy**: -7.769 eV/atom
**Space-group type**: Cmc2_1 (36)

[11]
MgTlCu3Se4 | PBE | optimized geometry

Geometry as POSCAR:
```
MgTlCu3Se4
1.0
-3.8073 3.9909 -2.3388
0.8072 -2.4094 -5.4255
-4.5548 -3.7630 0.9934
Cu Se Mg Tl
3 4 1 1
Direct
0.0000 0.5000 0.0000
0.5000 0.0000 0.0000
0.0000 0.0000 0.5000
0.2564 0.7436 0.7436
0.7436 0.7436 0.2564
0.7436 0.2564 0.7436
0.2564 0.2564 0.2564
0.5000 0.5000 0.5000
0.0000 0.0000 0.0000
```

Results
**Final energy**: -3.480 eV/atom
**Space-group type**: P-43m (215)

[12]
NdThZr | PBE | optimized geometry

Geometry as POSCAR:
```
NdThZr
1.0
3.7061 0.0000 0.0000
0.0000 3.7061 0.0000
0.0000 0.0000 13.0672
Nd Th Zr
2 2 2
Direct
0.5000 0.0000 0.3918
0.0000 0.5000 0.6082
0.0000 0.5000 0.2139
0.5000 0.0000 0.7861
0.5000 0.0000 0.0648
0.0000 0.5000 0.9352
```

Results
**ΔH_f (0 K)**: 0.07 eV per atom
**Polymorph energy (0 for the lowest one)**: 0 meV/atom
**Space-group type**: P4/nmm (129)

[13]
UIn2PdO8 | PBE | optimized geometry

Geometry as POSCAR:
```
UIn2PdO8
1.0
-0.3708 -4.8582 1.0837
3.1136 -0.8742 -3.7497
5.0490 0.5228 4.0708
O In U Pd
8 2 1 1
Direct
0.1751 0.8103 0.2528
0.1751 0.8103 0.7472
0.3060 0.2828 0.5000
0.6909 0.7039 0.0000
0.3091 0.2961 0.0000
0.8249 0.1897 0.7472
0.8249 0.1897 0.2528
0.6940 0.7172 0.5000
0.5000 0.5000 0.2604
0.5000 0.5000 0.7396
0.0000 0.0000 0.0000
0.0000 0.0000 0.5000
```

Results
**Final energy**: -6.831 eV/atom
**Space-group type**: P2/m (10)

[14]
NaY2ScN | PBE | optimized geometry

Geometry as POSCAR:
```
NaY2ScN
1.0
5.1064 0.0000 0.0000
0.0000 5.1064 0.0000
0.0000 0.0000 4.3567
Sc N Y Na
1 1 2 1
Direct
0.0000 0.0000 0.5000
0.0000 0.0000 0.0000
0.5000 0.0000 0.0000
0.0000 0.5000 0.0000
0.5000 0.5000 0.5000
```

Results
**Final energy**: -6.228 eV/atom
**Space-group type**: P4/mmm (123)

[15]
KP3Pb | PBE | optimized geometry

Geometry as POSCAR:
```
KP3Pb
1.0
5.3525 0.0000 0.0000
0.0000 5.3525 0.0000
0.0000 0.0000 5.3525
P K Pb
3 1 1
Direct
0.5000 0.0000 0.0000
0.0000 0.0000 0.5000
0.0000 0.5000 0.0000
0.5000 0.5000 0.5000
0.0000 0.0000 0.0000
```

Results
**ΔH_f (0 K)**: 0.87 eV per atom
**Polymorph energy (0 for the lowest one)**: 0 meV/atom
**Space-group type**: Pm-3m (221)

[16]
Y3PuS4 | PBE | optimized geometry

Geometry as POSCAR:
```
Y3PuS4
1.0
5.5530 0.0000 0.0000
0.0000 5.5530 0.0000
0.0000 0.0000 5.5530
Y Pu S
3 1 4
Direct
0.5000 0.5000 0.0000
0.0000 0.5000 0.5000
0.5000 0.0000 0.5000
0.0000 0.0000 0.0000
0.0000 0.5000 0.0000
0.0000 0.0000 0.5000
0.5000 0.5000 0.5000
0.5000 0.0000 0.0000
```

Results
**Final energy**: -8.242 eV/atom
**Space-group type**: Pm-3m (221)

[17]
CrTcP3 | PBE | optimized geometry

Geometry as POSCAR:
```
CrTcP3
1.0
-3.1066 2.7289 1.4796
-2.6834 -3.4131 0.6609
1.5606 -0.4366 4.0818
Cr P Tc
1 3 1
Direct
0.0000 0.0000 0.0000
0.5000 0.0000 0.0000
0.0000 0.0000 0.5000
0.0000 0.5000 0.0000
0.5000 0.5000 0.5000
```

Results
**ΔH_f (0 K)**: 0.87 eV per atom
**Polymorph energy (0 for the lowest one)**: 0 meV/atom
**Space-group type**: Pm-3m (221)

[18]
PmPuTi | PBE | optimized geometry

Geometry as POSCAR:
```
PmPuTi
1.0
-1.3966 1.1816 -2.8600
-1.0673 -3.1292 -0.7716
-10.2712 3.2776 8.3849
Ti Pu Pm
2 2 2
Direct
0.2769 0.2769 0.5539
0.7231 0.7231 0.4461
0.1565 0.1565 0.3130
0.8435 0.8435 0.6870
0.4341 0.4341 0.8683
0.5659 0.5659 0.1317
```

Results
**ΔH_f (0 K)**: 0.25 eV per atom
**Space-group type**: I4/mmm (139)